Density functional theory data (PBE) for Be2TeO after structural relaxation.

Properties
volume: 13.3 Å³/atom
D(E_F): 0.00 states/eV/cell
raw total energy: -79.4 eV/cell
magnetization: 0.00 μB/cell
formation energy from raw total energies: -1073 meV per atom
offset from the most stable computed form: 0.000 eV/atom

Structure (POSCAR):
```
Be2TeO
1.0
4.7367 0.0000 0.0000
0.0000 4.7367 0.0000
0.0000 0.0000 9.4908
Be Te O
8 4 4
Direct
0.1196 0.2500 0.1250
0.2500 0.6196 0.3750
0.2500 0.8804 0.8750
0.3804 0.2500 0.6250
0.6196 0.7500 0.6250
0.7500 0.1196 0.8750
0.7500 0.3804 0.3750
0.8804 0.7500 0.1250
0.0000 0.0000 0.5000
0.0000 0.5000 0.7500
0.5000 0.0000 0.2500
0.5000 0.5000 0.0000
0.0000 0.0000 0.0000
0.0000 0.5000 0.2500
0.5000 0.0000 0.7500
0.5000 0.5000 0.5000
```


Density functional theory data (PBE) for BeTeO4 after structural relaxation.

Properties
volume: 12.5 Å³/atom
D(E_F): 0.00 states/eV/cell
raw total energy: -67.6 eV/cell
magnetization: 0.00 μB/cell
formation energy from raw total energies: -1186 meV per atom

Structure (POSCAR):
```
BeTeO4
1.0
11.2985 0.0000 0.0000
0.0000 2.9904 0.0000
-2.1491 0.0000 4.4365
Be Te O
2 2 8
Direct
0.0000 0.0000 0.0000
0.5000 0.5000 0.0000
0.0000 0.5000 0.5000
0.5000 0.0000 0.5000
0.0896 0.5000 0.2551
0.1030 0.0000 0.7741
0.3970 0.5000 0.2259
0.4104 0.0000 0.7449
0.5896 0.0000 0.2551
0.6030 0.5000 0.7741
0.8970 0.0000 0.2259
0.9104 0.5000 0.7449
```